Density functional theory data (PBE) for ThGe2PtRh5 after structural relaxation.

Unit cell a=4.6223 b=4.6223 c=7.3303 alpha=90.00 beta=90.00 gamma=90.00
With the nearest neighbours (Å) after each atom.
Fractional coordinates of all 9 atoms:
Pt1 0.0000 0.0000 0.0000  8 Rh 2.86
Rh1 0.5000 0.0000 0.7698  2 Ge 2.36
Ge1 0.5000 0.5000 0.1657  5 Rh 2.36-2.45, 1 Ge 2.43
Rh2 0.0000 0.5000 0.2302  2 Ge 2.36
Rh3 0.0000 0.5000 0.7698  2 Ge 2.36
Ge2 0.5000 0.5000 0.8343  5 Rh 2.36-2.45, 1 Ge 2.43
Th1 0.0000 0.0000 0.5000  12 Rh 3.04-3.27
Rh4 0.5000 0.5000 0.5000  2 Ge 2.45
Rh5 0.5000 0.0000 0.2302  2 Ge 2.36

- density (g cm⁻³) = 11.52
- DFT formation energy (meV per atom) = -260
- total energy (Ha/atom) = -0.2523